No. 1
Material: Nd3MgTc
Method: DFT, PBE-GGA
State: relaxed

Cell: 5.4647 5.4647 5.4647 Å, 90.00 90.00 90.00°
Space group Pm-3m (No. 221)
Symmetry-distinct sites (fractional):
Nd: 0.0000 0.0000 0.5000 (multiplicity 3)
Mg: 0.5000 0.5000 0.5000 (multiplicity 1)
Tc: 0.0000 0.0000 0.0000 (multiplicity 1)

Summary:
energy of formation	155	meV per atom
size of the total moment	0.0	Bohr magnetons per cell
total DFT energy (no corrections)	-5.098	eV/atom

=====

No. 2
Material: Tl2VB
Method: DFT, PBE-GGA
State: relaxed

Cell: 8.7921 8.7921 4.3822 Å, 90.00 90.00 90.00°
Space group I-42d (No. 122)
Symmetry-distinct sites (fractional):
Tl: 0.1198 0.2500 0.1250 (multiplicity 8)
V: 0.0000 0.0000 0.5000 (multiplicity 4)
B: 0.0000 0.0000 0.0000 (multiplicity 4)

Summary:
energy of formation	882	meV per atom
size of the total moment	9.7	Bohr magnetons per cell
total DFT energy (no corrections)	-4.250	eV/atom

=====

No. 3
Material: Cs2Tl2OsO4
Method: DFT, PBE-GGA
State: relaxed

Cell: 6.8190 6.8190 8.7288 Å, 90.00 90.00 90.00°
Space group I4/mmm (No. 139)
Symmetry-distinct sites (fractional):
Cs: 0.0000 0.5000 0.2500 (multiplicity 4)
Tl: 0.0000 0.0000 0.1671 (multiplicity 4)
Os: 0.0000 0.0000 0.5000 (multiplicity 2)
O: 0.1993 0.1993 0.5000 (multiplicity 8)

Summary:
size of the total moment	4.0	Bohr magnetons per cell
E_form (uncorrected)	-0.7742	eV/atom
total DFT energy (no corrections)	-4.941	eV/atom

=====

No. 4
Material: RbNa2OsCl8
Method: DFT, PBE-GGA
State: relaxed

Cell: 6.1428 6.3522 9.1501 Å, 90.21 90.12 98.56°
Space group P-1 (No. 2)
Symmetry-distinct sites (fractional):
Rb: 0.0000 0.0000 0.0000 (multiplicity 1)
Na: 0.4991 0.4989 0.7555 (multiplicity 2)
Os: 0.0000 0.0000 0.5000 (multiplicity 1)
Cl: 0.1293 0.7910 0.3197 (multiplicity 2)
Cl: 0.1326 0.7937 0.6798 (multiplicity 2)
Cl: 0.3356 0.2329 0.4993 (multiplicity 2)
Cl: 0.4924 0.7480 0.0000 (multiplicity 2)

Summary:
size of the total moment	2.6	Bohr magnetons per cell
E_form (uncorrected)	-1.0633	eV/atom
total DFT energy (no corrections)	-3.531	eV/atom

=====

No. 5
Material: LiAgMo2
Method: DFT, PBE-GGA
State: relaxed

Cell: 3.1802 4.0694 9.5564 Å, 90.00 90.00 90.00°
Space group Immm (No. 71)
Symmetry-distinct sites (fractional):
Li: 0.0000 0.0000 0.0000 (multiplicity 2)
Ag: 0.0000 0.0000 0.5000 (multiplicity 2)
Mo: 0.0000 0.5000 0.2538 (multiplicity 4)

Summary:
energy of formation	336	meV per atom
size of the total moment	0.0	Bohr magnetons per cell
total DFT energy (no corrections)	-6.271	eV/atom

=====

No. 6
Material: BaMo2As2
Method: DFT, PBE-GGA
State: relaxed

Cell: 8.1779 8.1779 3.2461 Å, 90.00 90.00 90.00°
Space group P4/mbm (No. 127)
Symmetry-distinct sites (fractional):
Ba: 0.0000 0.0000 0.0000 (multiplicity 2)
Mo: 0.1001 0.3999 0.0000 (multiplicity 4)
As: 0.1589 0.6589 0.5000 (multiplicity 4)

Summary:
energy of formation	135	meV per atom
size of the total moment	0.0	Bohr magnetons per cell
total DFT energy (no corrections)	-6.442	eV/atom